The following is a DFT calculation (GGA-PBE) of an optimized crystal structure of BeAg2Se.

Unit cell a=9.6553 b=9.6553 c=9.6553 alpha=156.48 beta=156.48 gamma=33.50
Closest atoms and distances in Å follow each position.
Sites, in units of the cell vectors:
Be: 0.0000 0.0000 0.0000  4 Ag 2.68, 4 Se 2.78
Be: 0.7500 0.2500 0.5000  4 Ag 2.68, 4 Se 2.78
Ag: 0.1110 0.6250 0.9860  2 Be 2.68, 4 Ag 2.71-2.86, 2 Se 2.72
Ag: 0.3750 0.3610 0.4860  2 Be 2.68, 4 Ag 2.71-2.86, 2 Se 2.72
Ag: 0.6390 0.1250 0.0140  2 Be 2.68, 4 Ag 2.71-2.86, 2 Se 2.72
Ag: 0.8750 0.8890 0.5140  2 Be 2.68, 4 Ag 2.71-2.86, 2 Se 2.72
Se: 0.2500 0.7500 0.5000  4 Ag 2.72, 4 Be 2.78
Se: 0.5000 0.5000 0.0000  4 Ag 2.72, 4 Be 2.78

Volume, Å³/cell: 143
Energy above the lowest structure with this stoichiometry, eV/atom: 0.319
Formation energy from raw total energies, meV/atom: 307
Total magnetic moment, μB/f.u.: 0.0
Total DFT energy (no corrections), eV/atom: -2.92
Mass density, Mg/m³: 7.045

=====

The following is a DFT calculation (GGA-PBE) of an optimized crystal structure of Be2AgSe.

Unit cell a=6.3674 b=6.3674 c=6.3674 alpha=31.79 beta=31.79 gamma=31.79
Closest atoms and distances in Å follow each position.
Sites, in units of the cell vectors:
Be: 0.0000 0.0000 0.0000  3 Se 2.22, 3 Be 2.41
Be: 0.2599 0.2599 0.2599  3 Ag 2.39, 3 Be 2.41
Ag: 0.5217 0.5217 0.5217  3 Be 2.39
Se: 0.7185 0.7185 0.7185  3 Be 2.22

Volume, Å³/cell: 64
Formation energy from raw total energies, meV/atom: 268
Total magnetic moment, μB/f.u.: 0.0
Total DFT energy (no corrections), eV/atom: -3.18
Mass density, Mg/m³: 5.346

=====

The following is a DFT calculation (GGA-PBE) of an optimized crystal structure of BeAg2Se.

Unit cell a=4.7345 b=4.7345 c=5.8807 alpha=118.23 beta=118.23 gamma=42.22
Closest atoms and distances in Å follow each position.
Sites, in units of the cell vectors:
Be: 0.0000 0.0000 0.0000  2 Se 2.18
Ag: 0.2225 0.2225 0.8584  3 Be 2.49-2.75, 1 Se 2.72
Ag: 0.4303 0.4303 0.6094  2 Be 2.67, 3 Ag 2.81-2.87, 1 Se 2.81
Se: 0.5620 0.5620 0.2631  2 Be 2.18

Volume, Å³/cell: 76
Energy above the lowest structure with this stoichiometry, eV/atom: 0.082
Formation energy from raw total energies, meV/atom: 71
Total magnetic moment, μB/f.u.: 0.0
Total DFT energy (no corrections), eV/atom: -3.16
Mass density, Mg/m³: 6.606